A relaxed structure of Zr2TiVOs. Source: Alexandria, functional PBE.

abc: 4.8265 4.2544 4.8265
angles: 90.00 90.00 90.00
With the nearest neighbours (Å) after each atom.
Element x y z (fractional)
Ti 0.0000 0.5000 0.0000  2 V 2.13
Os 0.5000 0.5000 0.5000  8 Zr 3.22, 4 Ti 3.41
Zr 0.0000 0.0000 0.5000  2 V 2.41
Zr 0.5000 0.0000 0.0000  2 V 2.41
V 0.0000 0.0000 0.0000  2 Ti 2.13

Computed properties:
Density (g cm⁻³): 7.900
Total moment (μB per cell): 0.00
ΔE_f (eV/f.u.): 4.6
DOS at the Fermi energy (states/eV/atom): 1.16